Entry 1:
This record from Alexandria describes a crystal of PCl3O relaxed with PBEsol. The functional is SCAN.

CIF file:
```
data_PCl3O
_chemical_formula_sum 'P4 Cl12 O4'
_cell_length_a 9.388
_cell_length_b 9.445
_cell_length_c 5.870
_cell_angle_alpha 90.00
_cell_angle_beta 90.00
_cell_angle_gamma 90.00
_symmetry_space_group_name_H-M 'P n m a'
_symmetry_Int_Tables_number 62
_symmetry_space_group_name_Hall '-P 2ac 2n'
loop_
_atom_site_label
_atom_site_fract_x
_atom_site_fract_y
_atom_site_fract_z
P1 0.183 0.250 0.120
Cl1 0.020 0.250 0.902
Cl2 0.148 0.083 0.320
O1 0.176 0.750 0.511
```

**D(E_F)**: 0.00 states/eV/f.u.
**Final energy**: -186.021 eV per cell


Entry 2:
This record from Alexandria describes a crystal of P2PbClO relaxed with PBEsol. The functional is SCAN.

CIF file:
```
data_P2PbClO
_chemical_formula_sum 'P2 Pb1 Cl1 O1'
_cell_length_a 3.971
_cell_length_b 3.971
_cell_length_c 5.878
_cell_angle_alpha 90.00
_cell_angle_beta 90.00
_cell_angle_gamma 90.00
_symmetry_space_group_name_H-M 'P 4/m m m'
_symmetry_Int_Tables_number 123
_symmetry_space_group_name_Hall '-P 4 2'
loop_
_atom_site_label
_atom_site_fract_x
_atom_site_fract_y
_atom_site_fract_z
P1 0.000 0.500 0.000
Pb1 0.000 0.000 0.500
Cl1 0.500 0.500 0.500
O1 0.500 0.500 0.000
```

**D(E_F)**: 2.26 states/eV/f.u.
**Final energy**: -110.400 eV per cell


Entry 3:
This record from Alexandria describes a crystal of PPbCl2O relaxed with PBEsol. The functional is SCAN.

CIF file:
```
data_PPbCl2O
_chemical_formula_sum 'P1 Pb1 Cl2 O1'
_cell_length_a 5.584
_cell_length_b 5.584
_cell_length_c 3.346
_cell_angle_alpha 90.00
_cell_angle_beta 90.00
_cell_angle_gamma 90.00
_symmetry_space_group_name_H-M 'P 4/m m m'
_symmetry_Int_Tables_number 123
_symmetry_space_group_name_Hall '-P 4 2'
loop_
_atom_site_label
_atom_site_fract_x
_atom_site_fract_y
_atom_site_fract_z
P1 0.000 0.000 0.000
Pb1 0.500 0.500 0.000
Cl1 0.000 0.500 0.500
O1 0.000 0.000 0.500
```

**D(E_F)**: 1.85 states/eV/f.u.
**Final energy**: -109.915 eV per cell


Entry 4:
This record from Alexandria describes a crystal of P2PdClO relaxed with PBEsol. The functional is SCAN.

CIF file:
```
data_P2PdClO
_chemical_formula_sum 'P2 Pd1 Cl1 O1'
_cell_length_a 3.774
_cell_length_b 3.774
_cell_length_c 5.425
_cell_angle_alpha 90.00
_cell_angle_beta 90.00
_cell_angle_gamma 90.00
_symmetry_space_group_name_H-M 'P 4/m m m'
_symmetry_Int_Tables_number 123
_symmetry_space_group_name_Hall '-P 4 2'
loop_
_atom_site_label
_atom_site_fract_x
_atom_site_fract_y
_atom_site_fract_z
P1 0.000 0.500 0.000
Pd1 0.000 0.000 0.500
Cl1 0.500 0.500 0.500
O1 0.500 0.500 0.000
```

**D(E_F)**: 3.31 states/eV/f.u.
**Final energy**: -65.416 eV per cell


Entry 5:
This record from Alexandria describes a crystal of PPdCl2O relaxed with PBEsol. The functional is SCAN.

CIF file:
```
data_PPdCl2O
_chemical_formula_sum 'P1 Pd1 Cl2 O1'
_cell_length_a 4.780
_cell_length_b 4.780
_cell_length_c 4.519
_cell_angle_alpha 90.00
_cell_angle_beta 90.00
_cell_angle_gamma 90.00
_symmetry_space_group_name_H-M 'P 4/m m m'
_symmetry_Int_Tables_number 123
_symmetry_space_group_name_Hall '-P 4 2'
loop_
_atom_site_label
_atom_site_fract_x
_atom_site_fract_y
_atom_site_fract_z
P1 0.000 0.000 0.000
Pd1 0.000 0.000 0.500
Cl1 0.000 0.500 0.500
O1 0.500 0.500 0.000
```

**D(E_F)**: 3.32 states/eV/f.u.
**Final energy**: -62.192 eV per cell


Entry 6:
This record from Alexandria describes a crystal of Pr4PClO8 relaxed with PBEsol. The functional is SCAN.

CIF file:
```
data_Pr4PClO8
_chemical_formula_sum 'Pr8 P2 Cl2 O16'
_cell_length_a 13.066
_cell_length_b 5.763
_cell_length_c 5.838
_cell_angle_alpha 90.00
_cell_angle_beta 90.00
_cell_angle_gamma 90.00
_symmetry_space_group_name_H-M 'P m n 21'
_symmetry_Int_Tables_number 31
_symmetry_space_group_name_Hall 'P 2ac -2'
loop_
_atom_site_label
_atom_site_fract_x
_atom_site_fract_y
_atom_site_fract_z
Pr1 0.160 0.011 0.000
Pr2 0.167 0.494 0.470
P1 0.000 0.525 0.936
Cl1 0.000 0.966 0.398
O1 0.000 0.430 0.685
O2 0.000 0.794 0.922
O3 0.096 0.435 0.064
O4 0.233 0.755 0.740
O5 0.246 0.241 0.732
```

**D(E_F)**: 0.00 states/eV/f.u.
**Final energy**: -579.451 eV per cell


Entry 7:
This record from Alexandria describes a crystal of RbP2ClO relaxed with PBEsol. The functional is SCAN.

CIF file:
```
data_RbP2ClO
_chemical_formula_sum 'Rb1 P2 Cl1 O1'
_cell_length_a 4.623
_cell_length_b 4.623
_cell_length_c 5.404
_cell_angle_alpha 90.00
_cell_angle_beta 90.00
_cell_angle_gamma 90.00
_symmetry_space_group_name_H-M 'P 4/m m m'
_symmetry_Int_Tables_number 123
_symmetry_space_group_name_Hall '-P 4 2'
loop_
_atom_site_label
_atom_site_fract_x
_atom_site_fract_y
_atom_site_fract_z
Rb1 0.000 0.000 0.000
P1 0.000 0.500 0.500
Cl1 0.500 0.500 0.500
O1 0.500 0.500 0.000
```

**D(E_F)**: 2.00 states/eV/f.u.
**Final energy**: -52.218 eV per cell


Entry 8:
This record from Alexandria describes a crystal of P2RhClO relaxed with PBEsol. The functional is SCAN.

CIF file:
```
data_P2RhClO
_chemical_formula_sum 'P2 Rh1 Cl1 O1'
_cell_length_a 4.715
_cell_length_b 4.715
_cell_length_c 3.698
_cell_angle_alpha 90.00
_cell_angle_beta 90.00
_cell_angle_gamma 90.00
_symmetry_space_group_name_H-M 'P 4/m m m'
_symmetry_Int_Tables_number 123
_symmetry_space_group_name_Hall '-P 4 2'
loop_
_atom_site_label
_atom_site_fract_x
_atom_site_fract_y
_atom_site_fract_z
P1 0.000 0.500 0.000
Rh1 0.000 0.000 0.000
Cl1 0.500 0.500 0.500
O1 0.000 0.000 0.500
```

**D(E_F)**: 5.13 states/eV/f.u.
**Final energy**: -66.755 eV per cell


Copy entry 5 word for word.
This record from Alexandria describes a crystal of PPdCl2O relaxed with PBEsol. The functional is SCAN.

CIF file:
```
data_PPdCl2O
_chemical_formula_sum 'P1 Pd1 Cl2 O1'
_cell_length_a 4.780
_cell_length_b 4.780
_cell_length_c 4.519
_cell_angle_alpha 90.00
_cell_angle_beta 90.00
_cell_angle_gamma 90.00
_symmetry_space_group_name_H-M 'P 4/m m m'
_symmetry_Int_Tables_number 123
_symmetry_space_group_name_Hall '-P 4 2'
loop_
_atom_site_label
_atom_site_fract_x
_atom_site_fract_y
_atom_site_fract_z
P1 0.000 0.000 0.000
Pd1 0.000 0.000 0.500
Cl1 0.000 0.500 0.500
O1 0.500 0.500 0.000
```

**D(E_F)**: 3.32 states/eV/f.u.
**Final energy**: -62.192 eV per cell